Entry 1:
A plane-wave DFT calculation with PBE was carried out for a relaxed BaRe3Tc crystal.

The structure belongs to space group Pm-3m (No. 221); the cell edges are 4.851, 4.851 and 4.851 Å and the angles 90.00°, 90.00° and 90.00°. The asymmetric unit holds Ba at (0.000, 0.000, 0.000), Re at (0.000, 0.000, 0.500) and Tc at (0.500, 0.500, 0.500).

The value obtained for the total energy is -5.6944 eV per atom. The value obtained for the total magnetization is 0.01 Bohr magnetons per cell. The calculation puts the theoretical density at 11.547 Mg/m³.



Entry 2:
A plane-wave DFT calculation with PBE was carried out for a relaxed BaReTc2 crystal.

The structure belongs to space group Imm2 (No. 44); the cell edges are 2.901, 5.246 and 10.317 Å and the angles 90.00°, 90.00° and 90.00°. The asymmetric unit holds Ba at (0.000, 0.000, 0.000), Re at (0.000, 0.500, 0.788), Tc at (0.000, 0.000, 0.502) and Tc at (0.000, 0.500, 0.214).

The value obtained for the total energy is -7.6077 eV per atom. The value obtained for the total magnetization is 0.00 Bohr magnetons per cell. The calculation puts the theoretical density at 10.987 Mg/m³.



Entry 3:
A plane-wave DFT calculation with PBE was carried out for a relaxed BaRe2Tc crystal.

The structure belongs to space group C2/m (No. 12); the cell edges are 9.467, 3.134 and 6.475 Å and the angles 90.00°, 103.74° and 90.00°. The asymmetric unit holds Ba at (0.000, 0.000, 0.000), Re at (0.215, 0.000, 0.628) and Tc at (0.000, 0.500, 0.500).

The value obtained for the total energy is -8.4443 eV per atom. The value obtained for the total magnetization is 0.00 Bohr magnetons per cell. The calculation puts the theoretical density at 10.817 Mg/m³.



Entry 4:
A plane-wave DFT calculation with PBE was carried out for a relaxed BaRe2Tc crystal.

The structure belongs to space group Cmmm (No. 65); the cell edges are 5.315, 10.013 and 2.871 Å and the angles 90.00°, 90.00° and 90.00°. The asymmetric unit holds Ba at (0.000, 0.000, 0.000), Re at (0.250, 0.250, 0.500) and Tc at (0.000, 0.500, 0.000).

The value obtained for the total energy is -7.7414 eV per atom. The value obtained for the total magnetization is 0.00 Bohr magnetons per cell. The calculation puts the theoretical density at 13.212 Mg/m³.



Entry 5:
A plane-wave DFT calculation with PBE was carried out for a relaxed BaReTc2 crystal.

The structure belongs to space group R-3m (No. 166, hexagonal axes); the cell edges are 2.9552, 2.9552 and 30.2380 Å and the angles 90.00°, 90.00° and 120.00°. The asymmetric unit holds Ba at (0.0000, 0.0000, 0.0000), Re at (0.0000, 0.0000, 0.5000) and Tc at (0.0000, 0.0000, 0.2346).

The value obtained for the total energy is -7.8333 eV per atom. The value obtained for the total magnetization is 0.00 Bohr magnetons per cell. The calculation puts the theoretical density at 11.317 Mg/m³.



Entry 6:
A plane-wave DFT calculation with PBE was carried out for a relaxed Ba2VReTc crystal.

The structure belongs to space group P4/mmm (No. 123); the cell edges are 6.124, 6.124 and 4.427 Å and the angles 90.00°, 90.00° and 90.00°. The asymmetric unit holds Ba at (0.000, 0.500, 0.000), V at (0.000, 0.000, 0.000), Re at (0.000, 0.000, 0.500) and Tc at (0.500, 0.500, 0.500).

The value obtained for the total energy is -5.4473 eV per atom. The value obtained for the total magnetization is 3.83 Bohr magnetons per cell. The calculation puts the theoretical density at 6.100 Mg/m³.



Entry 7:
A plane-wave DFT calculation with PBE was carried out for a relaxed BaRe2Te crystal.

The structure belongs to space group Immm (No. 71); the cell edges are 3.116, 5.454 and 10.467 Å and the angles 90.00°, 90.00° and 90.00°. The asymmetric unit holds Ba at (0.000, 0.000, 0.000), Re at (0.000, 0.500, 0.217) and Te at (0.000, 0.000, 0.500).

The uncorrected formation energy is 1.266 eV/atom. The value obtained for the total magnetization is 0.00 Bohr magnetons per cell. The calculation puts the theoretical density at 11.902 Mg/m³.



Entry 8:
A plane-wave DFT calculation with PBE was carried out for a relaxed BaRe2Te crystal.

The structure belongs to space group R-3m (No. 166, hexagonal axes); the cell edges are 3.2147, 3.2147 and 29.0526 Å and the angles 90.00°, 90.00° and 120.00°. The asymmetric unit holds Ba at (0.0000, 0.0000, 0.0000), Re at (0.0000, 0.0000, 0.2342) and Te at (0.0000, 0.0000, 0.5000).

The uncorrected formation energy is 1.320 eV/atom. The value obtained for the total magnetization is 0.00 Bohr magnetons per cell. The calculation puts the theoretical density at 12.211 Mg/m³.



Entry 9:
A plane-wave DFT calculation with PBE was carried out for a relaxed BaReTe3 crystal.

The structure belongs to space group Pm-3m (No. 221); the cell edges are 5.461, 5.461 and 5.461 Å and the angles 90.00°, 90.00° and 90.00°. The asymmetric unit holds Ba at (0.000, 0.000, 0.000), Re at (0.500, 0.500, 0.500) and Te at (0.000, 0.500, 0.500).

The uncorrected formation energy is -0.159 eV/atom. The value obtained for the total magnetization is 2.79 Bohr magnetons per cell. The calculation puts the theoretical density at 7.202 Mg/m³.



Entry 10:
A plane-wave DFT calculation with PBE was carried out for a relaxed Ba2ReTe crystal.

The structure belongs to space group P4mm (No. 99); the cell edges are 4.873, 4.873 and 6.918 Å and the angles 90.00°, 90.00° and 90.00°. The asymmetric unit holds Ba at (0.000, 0.000, 0.000), Ba at (0.500, 0.500, 0.491), Re at (0.000, 0.000, 0.500) and Te at (0.500, 0.500, 0.991).

The uncorrected formation energy is 0.371 eV/atom. The value obtained for the total magnetization is 2.99 Bohr magnetons per cell. The calculation puts the theoretical density at 5.947 Mg/m³.



Entry 11:
A plane-wave DFT calculation with PBE was carried out for a relaxed BaReTe crystal.

The structure belongs to space group P-6m2 (No. 187); the cell edges are 4.5358, 4.5358 and 5.1097 Å and the angles 90.00°, 90.00° and 120.00°. The asymmetric unit holds Ba at (0.0000, 0.0000, 0.0000), Re at (0.6667, 0.3333, 0.5000) and Te at (0.3333, 0.6667, 0.5000).

The uncorrected formation energy is 0.287 eV/atom. The value obtained for the total magnetization is 0.44 Bohr magnetons per cell. The calculation puts the theoretical density at 8.228 Mg/m³.



Entry 12:
A plane-wave DFT calculation with PBE was carried out for a relaxed BaRe2Te crystal.

The structure belongs to space group P4/mmm (No. 123); the cell edges are 4.256, 4.256 and 5.080 Å and the angles 90.00°, 90.00° and 90.00°. The asymmetric unit holds Ba at (0.000, 0.000, 0.000), Re at (0.000, 0.500, 0.500) and Te at (0.500, 0.500, 0.000).

The uncorrected formation energy is 1.462 eV/atom. The value obtained for the total magnetization is 0.00 Bohr magnetons per cell. The calculation puts the theoretical density at 11.501 Mg/m³.